DFT (PBE) results for a relaxed structure of NaZn12Ag7.

```
NaZn12Ag7
1.0
8.272 0.000 0.000
-2.757 7.798 0.000
-2.757 -3.899 6.754
Zn Ag Na
12 7 1
direct
0.359 0.253 0.612
0.388 0.641 0.747
0.894 0.641 0.253
0.359 0.747 0.106
0.106 0.359 0.747
0.253 0.894 0.641
0.747 0.106 0.359
0.253 0.612 0.359
0.747 0.388 0.641
0.641 0.253 0.894
0.612 0.359 0.253
0.641 0.747 0.388
0.500 0.000 0.000
0.500 0.000 0.500
0.000 0.500 0.000
0.500 0.500 0.000
0.000 0.000 0.500
0.500 0.500 0.500
0.000 0.500 0.500
0.000 0.000 0.000
```

Values from the calculation:
* ΔE_f: 0.17 eV/atom
* total energy: -1.65 eV/atom
* mass density: 6.0 Mg/m³
* DOS(E_F): 8.68 states/eV per cell